Below is an optimized crystal structure of Pa2Ni2O7, with properties calculated at the PBE+U level.

Properties
Uncorrected energy ... -7.747 eV per atom
Space group ... No. 12

abc: 5.813 5.813 5.169
angles: 95.27 95.27 106.87
Fractional positions:
Pa1 0.196 0.804 0.000
Pa2 0.804 0.196 0.000
Ni1 0.251 0.251 0.582
Ni2 0.749 0.749 0.418
O1 0.062 0.439 0.784
O2 0.068 0.068 0.244
O3 0.439 0.062 0.784
O4 0.500 0.500 0.500
O5 0.561 0.938 0.216
O6 0.932 0.932 0.756
O7 0.938 0.561 0.216